Record 1
Entry from Alexandria: a PBEsol-optimized structure of Li2NiW (meta-GGA SCAN).

## Properties
As for the distance to the lowest polymorph of the same formula: 0.25 eV per formula unit. Its space group is Cm.

POSCAR file:
```
Li2NiW
1.0
-1.1157 1.4388 -1.7450
0.7318 -3.9180 -1.8762
-4.5422 -1.1505 1.9556
Ni Li W
1 2 1
direct
0.5084 0.0168 0.4639 Ni
0.9956 0.9911 0.9645 Li
0.2367 0.4735 0.7729 Li
0.7593 0.5186 0.2988 W
```

Record 2
Entry from Alexandria: a PBEsol-optimized structure of Li2NiW (meta-GGA SCAN).

## Properties
As for the distance to the lowest polymorph of the same formula: 0.56 eV per formula unit. Its space group is P4/mmm.

POSCAR file:
```
Li2NiW
1.0
2.5125 0.0000 0.0000
0.0000 2.5125 0.0000
0.0000 0.0000 8.3905
Li Ni W
2 1 1
direct
0.0000 0.0000 0.2218 Li
0.0000 0.0000 0.7782 Li
0.5000 0.5000 0.0000 Ni
0.5000 0.5000 0.5000 W
```

Record 3
Entry from Alexandria: a PBEsol-optimized structure of LiYNi4 (meta-GGA SCAN).

## Properties
Its space group is F-43m.

POSCAR file:
```
LiYNi4
1.0
4.8206 0.0000 0.0000
2.4103 4.1747 0.0000
2.4103 1.3916 3.9360
Li Ni Y
1 4 1
direct
0.0000 0.0000 0.0000 Li
0.8771 0.3743 0.3743 Ni
0.3743 0.3743 0.3743 Ni
0.3743 0.8771 0.3743 Ni
0.3743 0.3743 0.8771 Ni
0.7500 0.7500 0.7500 Y
```

Record 4
Entry from Alexandria: a PBEsol-optimized structure of LiY2Ni (meta-GGA SCAN).

## Properties
Its space group is I-4m2.

POSCAR file:
```
LiY2Ni
1.0
4.0071 0.0000 0.0000
0.0000 4.0071 0.0000
-2.0035 -2.0035 5.1279
Y Li Ni
2 1 1
direct
0.7500 0.2500 0.5000 Y
0.0000 0.0000 0.0000 Y
0.5000 0.5000 0.0000 Li
0.2500 0.7500 0.5000 Ni
```

Record 5
Entry from Alexandria: a PBEsol-optimized structure of LiY2Ni (meta-GGA SCAN).

## Properties
Its space group is P4/mmm.

POSCAR file:
```
LiY2Ni
1.0
3.3914 0.0000 0.0000
0.0000 3.3914 0.0000
0.0000 0.0000 7.6164
Y Ni Li
2 1 1
direct
0.0000 0.0000 0.7922 Y
0.0000 0.0000 0.2078 Y
0.5000 0.5000 0.0000 Ni
0.5000 0.5000 0.5000 Li
```

Record 6
Entry from Alexandria: a PBEsol-optimized structure of LiZn2Ni (meta-GGA SCAN).

## Properties
As for the distance to the lowest polymorph of the same formula: 0.30 eV per formula unit. Its space group is I-4m2.

POSCAR file:
```
LiZn2Ni
1.0
3.5464 0.0000 0.0000
0.0000 3.5464 0.0000
-1.7732 -1.7732 3.8356
Zn Li Ni
2 1 1
direct
0.7500 0.2500 0.5000 Zn
0.0000 0.0000 0.0000 Zn
0.5000 0.5000 0.0000 Li
0.2500 0.7500 0.5000 Ni
```

Record 7
Entry from Alexandria: a PBEsol-optimized structure of LiZnNi2 (meta-GGA SCAN).

## Properties
Its space group is P4mm.

POSCAR file:
```
LiZnNi2
1.0
2.5328 0.0000 0.0000
0.0000 2.5328 0.0000
0.0000 0.0000 7.3181
Ni Zn Li
2 1 1
direct
0.5000 0.5000 0.2380 Ni
0.0000 0.0000 0.0176 Ni
0.0000 0.0000 0.4771 Zn
0.5000 0.5000 0.7672 Li
```

Record 8
Entry from Alexandria: a PBEsol-optimized structure of LiZn2Ni (meta-GGA SCAN).

## Properties
As for the distance to the lowest polymorph of the same formula: 0.37 eV per formula unit. Its space group is F-43m.

POSCAR file:
```
LiZn2Ni
1.0
-3.0146 2.5899 -0.9503
-2.5742 -0.8903 -3.0462
-3.8783 -0.9878 0.8252
Zn Ni Li
2 1 1
direct
0.7500 0.7500 0.7500 Zn
0.0000 0.0000 0.0000 Zn
0.2500 0.2500 0.2500 Ni
0.5000 0.5000 0.5000 Li
```

| no. | E (eV per atom) | calculated density (g cm⁻³) |
| --- | --- | --- |
| 1 | -22.3385 | 7.93 |
| 2 | -22.2628 | 8.04 |
| 3 | -16.1233 | 6.93 |
| 4 | -18.4734 | 4.91 |
| 5 | -18.7286 | 4.61 |
| 6 | -11.5677 | 6.76 |
| 7 | -12.1024 | 6.71 |
| 8 | -11.5519 | 6.76 |